Entry 1:
This record from the Alexandria database describes a geometry-optimized KTaHgI6 structure. The functional is PBE.

Values from the calculation:
Magnetic moment (Bohr magnetons per cell): 0.0
ΔE_f (raw) (eV per atom): -0.59

a = 8.665 Å, b = 8.665 Å, c = 14.079 Å
α = 90.00°, β = 90.00°, γ = 120.00°
Fractional coordinates of all 18 atoms:
K  0.333  0.667  0.250
K  0.667  0.333  0.750
Ta  0.333  0.667  0.750
Ta  0.667  0.333  0.250
Hg  0.000  0.000  0.000
Hg  0.000  0.000  0.500
I  0.069  0.412  0.635
I  0.069  0.657  0.865
I  0.343  0.412  0.865
I  0.343  0.931  0.635
I  0.412  0.069  0.135
I  0.412  0.343  0.365
I  0.588  0.657  0.635
I  0.588  0.931  0.865
I  0.657  0.069  0.365
I  0.657  0.588  0.135
I  0.931  0.343  0.135
I  0.931  0.588  0.365


Entry 2:
This record from the Alexandria database describes a geometry-optimized AlAgSn structure. The functional is PBE.

Values from the calculation:
Magnetic moment (Bohr magnetons per cell): 0.0
Formation energy (eV/atom): 0.043
DOS at the Fermi energy (states/eV/f.u.): 1.1

a = 3.104 Å, b = 4.803 Å, c = 9.113 Å
α = 79.39°, β = 81.70°, γ = 71.61°
Fractional coordinates of all 6 atoms:
Al  0.164  0.235  0.426
Al  0.836  0.765  0.574
Ag  0.481  0.710  0.314
Ag  0.519  0.290  0.686
Sn  0.178  0.775  0.879
Sn  0.822  0.225  0.121


Entry 3:
This record from the Alexandria database describes a geometry-optimized Mn2GaHPd structure. The functional is PBE.

Values from the calculation:
Distance to the lowest polymorph of the same formula (eV per atom): 0.000
Magnetic moment (Bohr magnetons per cell): 6.0
DOS at the Fermi energy (states/eV/f.u.): 2.9

a = 3.829 Å, b = 3.829 Å, c = 3.963 Å
α = 90.00°, β = 90.00°, γ = 90.00°
Fractional coordinates of all 5 atoms:
Mn  0.000  0.500  0.000
Mn  0.500  0.000  0.000
Ga  0.000  0.000  0.500
H  0.500  0.500  0.000
Pd  0.500  0.500  0.500


Entry 4:
This record from the Alexandria database describes a geometry-optimized Ba2PdAu structure. The functional is PBE.

Values from the calculation:
Magnetic moment (Bohr magnetons per cell): 0.0
Formation energy (eV/atom): -0.545
DOS at the Fermi energy (states/eV/f.u.): 2.7

a = 8.450 Å, b = 8.450 Å, c = 8.450 Å
α = 31.57°, β = 31.57°, γ = 31.57°
Fractional coordinates of all 4 atoms:
Ba  0.000  0.000  0.000
Ba  0.181  0.181  0.181
Pd  0.592  0.592  0.592
Au  0.756  0.756  0.756


Entry 5:
This record from the Alexandria database describes a geometry-optimized LiIn3Rh2 structure. The functional is PBE.

Values from the calculation:
Magnetic moment (Bohr magnetons per cell): 0.0
Formation energy (eV/atom): -0.421
DOS at the Fermi energy (states/eV/f.u.): 2.5

a = 4.590 Å, b = 4.590 Å, c = 11.274 Å
α = 90.00°, β = 90.00°, γ = 120.00°
Fractional coordinates of all 12 atoms:
Li  0.333  0.667  0.165
Li  0.667  0.333  0.835
In  0.000  0.000  0.251
In  0.000  0.000  0.749
In  0.333  0.667  0.418
In  0.333  0.667  0.916
In  0.667  0.333  0.084
In  0.667  0.333  0.582
Rh  0.000  0.000  0.000
Rh  0.000  0.000  0.500
Rh  0.333  0.667  0.667
Rh  0.667  0.333  0.333


Entry 6:
This record from the Alexandria database describes a geometry-optimized RbSr2N structure. The functional is PBE.

Values from the calculation:
Magnetic moment (Bohr magnetons per cell): 0.0
ΔE_f (raw) (eV per atom): -0.29
DOS at the Fermi energy (states/eV/f.u.): 2.8

a = 11.838 Å, b = 11.838 Å, c = 11.838 Å
α = 19.27°, β = 19.27°, γ = 19.27°
Fractional coordinates of all 4 atoms:
Rb  0.000  0.000  0.000
Sr  0.128  0.128  0.128
Sr  0.872  0.872  0.872
N  0.500  0.500  0.500


Entry 7:
This record from the Alexandria database describes a geometry-optimized AcCePm structure. The functional is PBE.

Values from the calculation:
Distance to the lowest polymorph of the same formula (eV per atom): 0.011
Magnetic moment (Bohr magnetons per cell): 0.9
Formation energy (eV/atom): 0.125
DOS at the Fermi energy (states/eV/f.u.): 7.4

a = 3.717 Å, b = 3.717 Å, c = 9.026 Å
α = 90.00°, β = 90.00°, γ = 120.00°
Fractional coordinates of all 3 atoms:
Ac  0.000  0.000  0.000
Ce  0.333  0.667  0.669
Pm  0.667  0.333  0.354


Entry 8:
This record from the Alexandria database describes a geometry-optimized BaErRh2 structure. The functional is PBE.

Values from the calculation:
Magnetic moment (Bohr magnetons per cell): 0.0
Formation energy (eV/atom): -0.433
DOS at the Fermi energy (states/eV/f.u.): 2.6

a = 3.475 Å, b = 3.475 Å, c = 7.634 Å
α = 90.00°, β = 90.00°, γ = 90.00°
Fractional coordinates of all 4 atoms:
Ba  0.000  0.000  0.000
Er  0.000  0.000  0.500
Rh  0.500  0.500  0.298
Rh  0.500  0.500  0.702


Entry 9:
This record from the Alexandria database describes a geometry-optimized Ta4CoB3 structure. The functional is PBE.

Values from the calculation:
Magnetic moment (Bohr magnetons per cell): 0.0
Formation energy (eV/atom): -0.570
DOS at the Fermi energy (states/eV/f.u.): 2.7

a = 3.227 Å, b = 3.323 Å, c = 9.142 Å
α = 90.00°, β = 90.00°, γ = 90.00°
Fractional coordinates of all 8 atoms:
Ta  0.000  0.000  0.000
Ta  0.000  0.500  0.477
Ta  0.500  0.000  0.680
Ta  0.500  0.500  0.201
Co  0.000  0.500  0.780
B  0.000  0.000  0.278
B  0.500  0.000  0.402
B  0.500  0.500  0.932


Entry 10:
This record from the Alexandria database describes a geometry-optimized SrPt2Pb structure. The functional is PBE.

Values from the calculation:
Magnetic moment (Bohr magnetons per cell): 0.0
Formation energy (eV/atom): -0.202
DOS at the Fermi energy (states/eV/f.u.): 2.9

a = 5.012 Å, b = 5.012 Å, c = 5.012 Å
α = 60.00°, β = 60.00°, γ = 60.00°
Fractional coordinates of all 4 atoms:
Sr  0.000  0.000  0.000
Pt  0.500  0.500  0.500
Pt  0.750  0.750  0.750
Pb  0.250  0.250  0.250


Entry 11:
This record from the Alexandria database describes a geometry-optimized Y2TaV2 structure. The functional is PBE.

Values from the calculation:
Magnetic moment (Bohr magnetons per cell): 2.1
Formation energy (eV/atom): 0.438
DOS at the Fermi energy (states/eV/f.u.): 6.7

a = 6.626 Å, b = 6.626 Å, c = 4.947 Å
α = 90.00°, β = 90.00°, γ = 90.00°
Fractional coordinates of all 10 atoms:
Y  0.176  0.324  0.000
Y  0.324  0.824  0.000
Y  0.676  0.176  0.000
Y  0.824  0.676  0.000
Ta  0.000  0.000  0.500
Ta  0.500  0.500  0.500
V  0.133  0.633  0.500
V  0.367  0.133  0.500
V  0.633  0.867  0.500
V  0.867  0.367  0.500